(1)
! TlNi2Pt | the Alexandria database | PBEsol | relaxed; values from VASP
! Total magnetic moment   0.0633 μB/atom
! Energy above the most stable polymorph in this dataset   0.114 eV per atom
&SYSTEM
  ibrav = 0, nat = 4, ntyp = 3
/
ATOMIC_SPECIES
Pt 195.08 Pt.upf
Ni 58.69 Ni.upf
Tl 204.38 Tl.upf
CELL_PARAMETERS angstrom
2.883 0.000 0.000
-1.441 4.209 0.013
0.000 -1.002 4.818
ATOMIC_POSITIONS crystal
Pt 0.000 0.000 0.500
Ni 0.747 0.494 0.717
Ni 0.253 0.506 0.283
Tl 0.500 0.000 0.000



(2)
! SrZr2Ru | the Alexandria database | PBEsol | relaxed; values from VASP
! Total magnetic moment   0.0001 μB/atom
! Energy above the most stable polymorph in this dataset   0.518 eV per atom
&SYSTEM
  ibrav = 0, nat = 4, ntyp = 3
/
ATOMIC_SPECIES
Zr 91.22 Zr.upf
Ru 101.07 Ru.upf
Sr 87.62 Sr.upf
CELL_PARAMETERS angstrom
-4.080 -0.024 0.006
-0.005 -0.249 -4.073
2.074 -4.910 2.342
ATOMIC_POSITIONS crystal
Zr 0.000 0.000 0.000
Ru 0.500 0.500 0.000
Zr 0.750 0.250 0.500
Sr 0.250 0.750 0.500



no.,Fermi-level density of states (states/eV/cell),volume (Å³/f.u.)
1,5.60,58
2,5.15,84